# ZrWCl2

An optimized crystal structure of ZrWCl2 (PBE, Alexandria).

The structure belongs to space group I4/mmm (No. 139); the cell edges are 4.236, 4.236 and 7.747 Å and the angles 90.00°, 90.00° and 90.00°. The inequivalent atoms are Zr at (0.000, 0.000, 0.000), W at (0.000, 0.000, 0.500) and Cl at (0.000, 0.500, 0.250).

The calculation puts the energy relative to the lowest polymorph listed for this composition at 1141 meV per atom. Its energy relative to the elements, uncorrected is 0.63 eV per atom. The calculation puts the total energy at -45.3 eV/cell. The calculation puts the density of states at the Fermi level at 0.859 states/eV/atom.

# CaPm8Ho5

An optimized crystal structure of CaPm8Ho5 (PBE, Alexandria).

The structure belongs to space group I-4 (No. 82); the cell edges are 9.731, 9.731 and 10.320 Å and the angles 90.00°, 90.00° and 90.00°. The inequivalent atoms are Ca at (0.000, 0.000, 0.000), Pm at (0.071, 0.174, 0.349), Pm at (0.092, 0.329, 0.003), Ho at (0.000, 0.500, 0.250) and Ho at (0.110, 0.296, 0.677).

As for the formation energy: 0.24 eV/atom. The calculation puts the total energy at -119.1 eV/cell. The calculation puts the density of states at the Fermi level at 1.524 states/eV/atom.

# Hf3HI

An optimized crystal structure of Hf3HI (PBE, Alexandria).

The structure belongs to space group Pm-3m (No. 221); the cell edges are 4.497, 4.497 and 4.497 Å and the angles 90.00°, 90.00° and 90.00°. The inequivalent atoms are Hf at (0.000, 0.000, 0.500), H at (0.000, 0.000, 0.000) and I at (0.500, 0.500, 0.500).

The calculation puts the energy relative to the lowest polymorph listed for this composition at 0 meV per atom. The calculation puts the total energy at -33.7 eV/cell. The calculation puts the density of states at the Fermi level at 1.079 states/eV/atom.

# Ti3CdAg

An optimized crystal structure of Ti3CdAg (PBE, Alexandria).

The structure belongs to space group Pm-3m (No. 221); the cell edges are 4.873, 4.873 and 4.873 Å and the angles 90.00°, 90.00° and 90.00°. The inequivalent atoms are Ti at (0.000, 0.000, 0.500), Cd at (0.500, 0.500, 0.500) and Ag at (0.000, 0.000, 0.000).

The calculation puts the energy relative to the lowest polymorph listed for this composition at 0 meV per atom. As for the formation energy: 0.98 eV/atom. The calculation puts the total energy at -22.6 eV/cell. The calculation puts the density of states at the Fermi level at 1.907 states/eV/atom.

# SrLi3Cd

An optimized crystal structure of SrLi3Cd (PBE, Alexandria).

The structure belongs to space group P6_3/mmc (No. 194); the cell edges are 7.1726, 7.1726 and 6.0750 Å and the angles 90.00°, 90.00° and 120.00°. The inequivalent atoms are Sr at (0.3333, 0.6667, 0.2500), Li at (0.1895, 0.3790, 0.7500) and Cd at (0.0000, 0.0000, 0.0000).

The calculation puts the energy relative to the lowest polymorph listed for this composition at 58 meV per atom. As for the formation energy: -0.05 eV/atom. The calculation puts the total energy at -17.2 eV/cell. The calculation puts the density of states at the Fermi level at 0.627 states/eV/atom.

# Na3Zn6Ag5

An optimized crystal structure of Na3Zn6Ag5 (PBE, Alexandria).

The structure belongs to space group Immm (No. 71); the cell edges are 4.397, 9.653 and 13.074 Å and the angles 90.00°, 90.00° and 90.00°. The inequivalent atoms are Na at (0.000, 0.000, 0.000), Na at (0.000, 0.000, 0.313), Zn at (0.000, 0.229, 0.500), Zn at (0.000, 0.273, 0.114), Ag at (0.000, 0.348, 0.312) and Ag at (0.000, 0.500, 0.000).

As for the formation energy: -0.02 eV/atom. The calculation puts the total energy at -52.3 eV/cell. The calculation puts the density of states at the Fermi level at 0.359 states/eV/atom.

# HoThIn

An optimized crystal structure of HoThIn (PBE, Alexandria).

The structure belongs to space group I4mm (No. 107); the cell edges are 3.594, 3.594 and 13.781 Å and the angles 90.00°, 90.00° and 90.00°. The inequivalent atoms are Ho at (0.000, 0.000, 0.000), Th at (0.000, 0.000, 0.314) and In at (0.000, 0.000, 0.650).

The calculation puts the energy relative to the lowest polymorph listed for this composition at 71 meV per atom. As for the formation energy: -0.20 eV/atom. The calculation puts the total energy at -30.7 eV/cell. The calculation puts the density of states at the Fermi level at 1.082 states/eV/atom.

# HfZr4Re

An optimized crystal structure of HfZr4Re (PBE, Alexandria).

The structure belongs to space group C2/c (No. 15); the cell edges are 14.760, 5.918 and 6.483 Å and the angles 90.00°, 108.20° and 90.00°. The inequivalent atoms are Hf at (0.000, 0.040, 0.250), Zr at (0.097, 0.398, 0.618), Zr at (0.176, 0.126, 0.093) and Re at (0.250, 0.250, 0.500).

The calculation puts the energy relative to the lowest polymorph listed for this composition at 178 meV per atom. As for the formation energy: 0.09 eV/atom. The calculation puts the total energy at -224.3 eV/cell. The calculation puts the density of states at the Fermi level at 1.006 states/eV/atom.